1.
# GGA-PBE SrCa4Hg, optimized geometry
data_SrCa4Hg
_chemical_formula_sum 'Sr4 Ca16 Hg4'
_space_group_name_H-M_alt 'F -4 3 m'
_space_group_IT_number 216
_space_group_name_Hall 'F -4 2 3'
_cell_length_a 10.106
_cell_length_b 10.106
_cell_length_c 10.106
_cell_angle_alpha 90.00
_cell_angle_beta 90.00
_cell_angle_gamma 90.00
loop_
_atom_site_label
_atom_site_type_symbol
_atom_site_fract_x
_atom_site_fract_y
_atom_site_fract_z
Sr1 Sr 0.000 0.000 0.000
Ca1 Ca 0.125 0.125 0.625
Hg1 Hg 0.250 0.250 0.250
# Energy relative to the lowest polymorph listed for this composition ... 0.319 eV/atom
# Calculated volume ... 1032.1 Å³/cell


2.
# GGA-PBE Zr3Al2Cu3, optimized geometry
data_Zr3Al2Cu3
_chemical_formula_sum 'Zr3 Al2 Cu3'
_space_group_name_H-M_alt 'P -6 2 m'
_space_group_IT_number 189
_space_group_name_Hall 'P -6 -2'
_cell_length_a 7.5746
_cell_length_b 7.5746
_cell_length_c 2.7006
_cell_angle_alpha 90.00
_cell_angle_beta 90.00
_cell_angle_gamma 120.00
loop_
_atom_site_label
_atom_site_type_symbol
_atom_site_fract_x
_atom_site_fract_y
_atom_site_fract_z
Zr1 Zr 0.0000 0.7606 0.0000
Al1 Al 0.3333 0.6667 0.0000
Cu1 Cu 0.0000 0.4046 0.5000
# Energy relative to the lowest polymorph listed for this composition ... 0.154 eV/atom
# Calculated volume ... 134.2 Å³/cell


3.
# GGA-PBE LiTcTeN2, optimized geometry
data_LiTcTeN2
_chemical_formula_sum 'Li1 Tc1 Te1 N2'
_space_group_name_H-M_alt 'P 4/m m m'
_space_group_IT_number 123
_space_group_name_Hall '-P 4 2'
_cell_length_a 3.851
_cell_length_b 3.851
_cell_length_c 5.704
_cell_angle_alpha 90.00
_cell_angle_beta 90.00
_cell_angle_gamma 90.00
loop_
_atom_site_label
_atom_site_type_symbol
_atom_site_fract_x
_atom_site_fract_y
_atom_site_fract_z
Li1 Li 0.000 0.000 0.000
Tc1 Tc 0.500 0.500 0.500
Te1 Te 0.500 0.500 0.000
N1 N 0.000 0.500 0.500
# Raw formation energy ... 266 meV/atom
# Energy relative to the lowest polymorph listed for this composition ... 0.000 eV/atom
# Calculated volume ... 84.6 Å³/cell


4.
# GGA-PBE Pt2AuSe, optimized geometry
data_Pt2AuSe
_chemical_formula_sum 'Pt4 Au2 Se2'
_space_group_name_H-M_alt 'A m m 2'
_space_group_IT_number 38
_space_group_name_Hall 'A 2 -2'
_cell_length_a 3.750
_cell_length_b 5.236
_cell_length_c 7.708
_cell_angle_alpha 90.00
_cell_angle_beta 90.00
_cell_angle_gamma 90.00
loop_
_atom_site_label
_atom_site_type_symbol
_atom_site_fract_x
_atom_site_fract_y
_atom_site_fract_z
Pt1 Pt 0.000 0.000 0.000
Pt2 Pt 0.500 0.000 0.242
Au1 Au 0.500 0.000 0.743
Se1 Se 0.000 0.000 0.455
# Raw formation energy ... 35 meV/atom
# Calculated volume ... 151.3 Å³/cell


5.
# GGA-PBE KTe4Pb, optimized geometry
data_KTe4Pb
_chemical_formula_sum 'K4 Te16 Pb4'
_space_group_name_H-M_alt 'F -4 3 m'
_space_group_IT_number 216
_space_group_name_Hall 'F -4 2 3'
_cell_length_a 9.276
_cell_length_b 9.276
_cell_length_c 9.276
_cell_angle_alpha 90.00
_cell_angle_beta 90.00
_cell_angle_gamma 90.00
loop_
_atom_site_label
_atom_site_type_symbol
_atom_site_fract_x
_atom_site_fract_y
_atom_site_fract_z
K1 K 0.000 0.000 0.000
Te1 Te 0.125 0.125 0.375
Pb1 Pb 0.250 0.250 0.750
# Raw formation energy ... -25 meV/atom
# Calculated volume ... 798.1 Å³/cell


6.
# GGA-PBE In3Ga12As5, optimized geometry
data_In3Ga12As5
_chemical_formula_sum 'In24 Ga96 As40'
_space_group_name_H-M_alt 'I a -3 d'
_space_group_IT_number 230
_space_group_name_Hall '-I 4bd 2c 3'
_cell_length_a 15.743
_cell_length_b 15.743
_cell_length_c 15.743
_cell_angle_alpha 90.00
_cell_angle_beta 90.00
_cell_angle_gamma 90.00
loop_
_atom_site_label
_atom_site_type_symbol
_atom_site_fract_x
_atom_site_fract_y
_atom_site_fract_z
In1 In 0.000 0.250 0.125
Ga1 Ga 0.019 0.074 0.653
As1 As 0.000 0.000 0.000
As2 As 0.000 0.250 0.375
# VASP energy ... -3.330 eV per atom
# Calculated volume ... 3901.5 Å³/cell


7.
# GGA-PBE Ac7In3Ru2, optimized geometry
data_Ac7In3Ru2
_chemical_formula_sum 'Ac14 In6 Ru4'
_space_group_name_H-M_alt 'C m m m'
_space_group_IT_number 65
_space_group_name_Hall '-C 2 2'
_cell_length_a 5.611
_cell_length_b 28.024
_cell_length_c 5.574
_cell_angle_alpha 90.00
_cell_angle_beta 90.00
_cell_angle_gamma 90.00
loop_
_atom_site_label
_atom_site_type_symbol
_atom_site_fract_x
_atom_site_fract_y
_atom_site_fract_z
Ac1 Ac 0.000 0.000 0.000
Ac2 Ac 0.000 0.094 0.500
Ac3 Ac 0.000 0.208 0.000
Ac4 Ac 0.000 0.389 0.000
In1 In 0.000 0.295 0.500
In2 In 0.000 0.500 0.500
Ru1 Ru 0.000 0.103 0.000
# VASP energy ... -4.856 eV per atom
# Calculated volume ... 876.4 Å³/cell


8.
# GGA-PBE FeSbPt, optimized geometry
data_FeSbPt
_chemical_formula_sum 'Fe4 Sb4 Pt4'
_space_group_name_H-M_alt 'F -4 3 m'
_space_group_IT_number 216
_space_group_name_Hall 'F -4 2 3'
_cell_length_a 6.176
_cell_length_b 6.176
_cell_length_c 6.176
_cell_angle_alpha 90.00
_cell_angle_beta 90.00
_cell_angle_gamma 90.00
loop_
_atom_site_label
_atom_site_type_symbol
_atom_site_fract_x
_atom_site_fract_y
_atom_site_fract_z
Fe1 Fe 0.000 0.000 0.000
Sb1 Sb 0.000 0.000 0.500
Pt1 Pt 0.250 0.250 0.750
# Raw formation energy ... -94 meV/atom
# Calculated volume ... 235.6 Å³/cell


9.
# GGA-PBE CaY3Ni8, optimized geometry
data_CaY3Ni8
_chemical_formula_sum 'Ca3 Y9 Ni24'
_space_group_name_H-M_alt 'R 3 m'
_space_group_IT_number 160
_space_group_name_Hall 'R 3 -2"'
_cell_length_a 5.0835
_cell_length_b 5.0835
_cell_length_c 24.9184
_cell_angle_alpha 90.00
_cell_angle_beta 90.00
_cell_angle_gamma 120.00
loop_
_atom_site_label
_atom_site_type_symbol
_atom_site_fract_x
_atom_site_fract_y
_atom_site_fract_z
Ca1 Ca 0.0000 0.0000 0.0000
Y1 Y 0.0000 0.0000 0.1240
Y2 Y 0.0000 0.0000 0.5021
Y3 Y 0.0000 0.0000 0.6283
Ni1 Ni 0.0000 0.0000 0.3138
Ni2 Ni 0.0000 0.0000 0.8137
Ni3 Ni 0.0024 0.5012 0.0646
Ni4 Ni 0.1679 0.3358 0.8961
# VASP energy ... -6.002 eV per atom
# Calculated volume ... 557.7 Å³/cell


10.
# GGA-PBE Mg6In12Pb, optimized geometry
data_Mg6In12Pb
_chemical_formula_sum 'Mg18 In36 Pb3'
_space_group_name_H-M_alt 'R -3 m'
_space_group_IT_number 166
_space_group_name_Hall '-R 3 2"'
_cell_length_a 13.6005
_cell_length_b 13.6005
_cell_length_c 9.5149
_cell_angle_alpha 90.00
_cell_angle_beta 90.00
_cell_angle_gamma 120.00
loop_
_atom_site_label
_atom_site_type_symbol
_atom_site_fract_x
_atom_site_fract_y
_atom_site_fract_z
Mg1 Mg 0.0725 0.5363 0.2295
In1 In 0.0000 0.3854 0.5000
In2 In 0.0819 0.1637 0.2674
Pb1 Pb 0.0000 0.0000 0.0000
# Energy relative to the lowest polymorph listed for this composition ... 0.022 eV/atom
# Calculated volume ... 1524.2 Å³/cell


11.
# GGA-PBE CaPm6Sm3Tm2, optimized geometry
data_CaPm6Sm3Tm2
_chemical_formula_sum 'Ca2 Pm12 Sm6 Tm4'
_space_group_name_H-M_alt 'C 1 2/m 1'
_space_group_IT_number 12
_space_group_name_Hall '-C 2y'
_cell_length_a 6.314
_cell_length_b 10.934
_cell_length_c 11.943
_cell_angle_alpha 90.00
_cell_angle_beta 100.08
_cell_angle_gamma 90.00
loop_
_atom_site_label
_atom_site_type_symbol
_atom_site_fract_x
_atom_site_fract_y
_atom_site_fract_z
Ca1 Ca 0.000 0.000 0.000
Pm1 Pm 0.242 0.500 0.250
Pm2 Pm 0.246 0.329 0.751
Sm1 Sm 0.000 0.166 0.500
Sm2 Sm 0.000 0.500 0.500
Tm1 Tm 0.000 0.333 0.000
# VASP energy ... -4.427 eV per atom
# Calculated volume ... 811.8 Å³/cell


12.
# GGA-PBE Tm2PaNi, optimized geometry
data_Tm2PaNi
_chemical_formula_sum 'Tm6 Pa3 Ni3'
_space_group_name_H-M_alt 'R -3 m'
_space_group_IT_number 166
_space_group_name_Hall '-R 3 2"'
_cell_length_a 3.2797
_cell_length_b 3.2797
_cell_length_c 30.9686
_cell_angle_alpha 90.00
_cell_angle_beta 90.00
_cell_angle_gamma 120.00
loop_
_atom_site_label
_atom_site_type_symbol
_atom_site_fract_x
_atom_site_fract_y
_atom_site_fract_z
Tm1 Tm 0.0000 0.0000 0.1047
Pa1 Pa 0.0000 0.0000 0.0000
Ni1 Ni 0.0000 0.0000 0.5000
# Energy relative to the lowest polymorph listed for this composition ... 0.285 eV/atom
# Calculated volume ... 288.5 Å³/cell


Among the records above, which one has the highest calculated volume?
In3Ga12As5